Material: CeEr2Fe
Method: DFT, PBE
State: relaxed

a b c (Å): 6.779 9.394 6.292
angles (deg): 90.00 90.00 90.00
Fractional positions:
Ce  0.070  0.250  0.133
Ce  0.430  0.750  0.633
Ce  0.570  0.250  0.367
Ce  0.930  0.750  0.867
Er  0.168  0.065  0.671
Er  0.168  0.435  0.671
Er  0.332  0.565  0.171
Er  0.332  0.935  0.171
Er  0.668  0.065  0.829
Er  0.668  0.435  0.829
Er  0.832  0.565  0.329
Er  0.832  0.935  0.329
Fe  0.144  0.750  0.489
Fe  0.356  0.250  0.989
Fe  0.644  0.750  0.011
Fe  0.856  0.250  0.511

Output
E above lowest polymorph (eV per atom): 0.000
E_form (eV per atom): -0.142

Material: YCd3O
Method: DFT, PBE
State: relaxed

a b c (Å): 6.064 6.064 6.064
angles (deg): 90.00 90.00 90.00
Fractional positions:
Y  0.000  0.000  0.000
Cd  0.000  0.000  0.500
Cd  0.000  0.500  0.000
Cd  0.500  0.000  0.000
O  0.500  0.500  0.500

Output
Formation energy without anion corrections (eV per atom): 1.076
E above lowest polymorph (eV per atom): 1.213

Material: LaTm2ThSe4
Method: DFT, PBE
State: relaxed

a b c (Å): 7.040 4.048 7.403
angles (deg): 90.00 108.42 90.00
Fractional positions:
La  0.000  0.000  0.000
Tm  0.000  0.500  0.500
Tm  0.500  0.000  0.500
Th  0.500  0.500  0.000
Se  0.245  0.000  0.728
Se  0.260  0.500  0.274
Se  0.740  0.500  0.726
Se  0.755  0.000  0.272

Output
Formation energy without anion corrections (eV per atom): -1.714

Material: BaAlPb2
Method: DFT, PBE
State: relaxed

a b c (Å): 10.099 4.542 6.339
angles (deg): 90.00 110.44 90.00
Fractional positions:
Ba  0.000  0.000  0.000
Ba  0.500  0.500  0.000
Al  0.247  0.000  0.647
Al  0.747  0.500  0.647
Pb  0.032  0.500  0.554
Pb  0.277  0.500  0.340
Pb  0.532  0.000  0.554
Pb  0.777  0.000  0.340

Output
E_form (eV per atom): -0.178

Material: Mn2AgBiP
Method: DFT, PBE
State: relaxed

a b c (Å): 4.943 4.943 5.349
angles (deg): 90.00 90.00 90.00
Fractional positions:
Mn  0.000  0.500  0.000
Mn  0.500  0.000  0.000
Ag  0.000  0.000  0.000
Bi  0.000  0.000  0.500
P  0.500  0.500  0.500

Output
E above lowest polymorph (eV per atom): 0.000
E_form (eV per atom): 1.180

Material: Ac3Mg4Cd4
Method: DFT, PBE
State: relaxed

a b c (Å): 3.890 5.156 16.236
angles (deg): 98.99 96.84 90.06
Fractional positions:
Ac  0.000  0.000  0.000
Ac  0.143  0.644  0.288
Ac  0.857  0.356  0.712
Mg  0.258  0.258  0.516
Mg  0.406  0.905  0.811
Mg  0.594  0.095  0.189
Mg  0.742  0.742  0.484
Cd  0.313  0.813  0.625
Cd  0.452  0.451  0.903
Cd  0.548  0.549  0.097
Cd  0.687  0.187  0.375

Output
E_form (eV per atom): -0.220

M_tot for every record listed, in sequence, given in μB per formula unit: 0.00 0.00 0.00 0.00 8.70 0.00.
E_tot for every record listed, in sequence, given in eV/atom: -6.023 -1.757 -6.118 -3.448 -4.916 -2.253.